## Tb2Th3Ge4 (PBE-GGA)

Data for crystalline Tb2Th3Ge4 at its relaxed geometry.

Cell lengths 6.1161, 6.1161, 9.7121 Å; angles 97.89, 97.89, 42.30 degrees
Atoms (fractional coordinates):
1 Tb 0.1761 0.1761 0.3060
2 Tb 0.8239 0.8239 0.6940
3 Th 0.1295 0.1295 0.9016
4 Th 0.5000 0.5000 0.5000
5 Th 0.8705 0.8705 0.0984
6 Ge 0.1642 0.1642 0.6076
7 Ge 0.4185 0.4185 0.8833
8 Ge 0.5815 0.5815 0.1167
9 Ge 0.8358 0.8358 0.3924

E_form, eV/atom: -0.63
SG: C2/m, No. 12
Energy, eV per atom: -6.185